The following is a SCAN calculation of a crystal of YCoBiH2 relaxed with PBEsol, from Alexandria.

Properties
* symmetry: P4/mmm
* spin magnetization: 1.108 μB per cell
* energy above the most stable polymorph in this dataset: 0 meV/atom

Cell lengths 4.073, 4.073, 4.899 Å; angles 90.00, 90.00, 90.00 degrees
Fractional coordinates of all 5 atoms:
Y 0.000 0.000 0.000
Co 0.500 0.500 0.500
Bi 0.500 0.500 0.000
H 0.000 0.500 0.500
H 0.500 0.000 0.500